# 1
The following is a PBE calculation of a relaxed AcLa7Ho12 crystal, from the Alexandria database.

Results
Crystal system: cubic
Volume in Å³ per atom: 37.1
Total moment in μB/f.u.: 0.00
Formation enthalpy at 0 K in eV/atom: 0.591

Unit cell a=11.4032 b=11.4032 c=11.4032 alpha=90.00 beta=90.00 gamma=90.00
Last column: nearest neighbours and their distance in Å.
Space group Im-3m (No. 229)
One atom of each set of equivalent atoms:
Ac  0.0000  0.0000  0.0000 (multiplicity 2)  12 Ho 4.07
La  0.0000  0.0000  0.5000 (multiplicity 6)  12 Ho 3.99-4.03
La  0.2500  0.2500  0.2500 (multiplicity 8)  6 Ho 2.85
Ho  0.0000  0.2527  0.2527 (multiplicity 24)  2 La 2.85

---

# 2
The following is a PBE calculation of a relaxed Zr2AlW crystal, from the Alexandria database.

Results
Crystal system: monoclinic
Volume in Å³ per atom: 19.3
Total moment in μB/f.u.: 0.00
Formation enthalpy at 0 K in eV/atom: -0.003

Unit cell a=10.0007 b=3.0543 c=5.1603 alpha=90.00 beta=102.10 gamma=90.00
Last column: nearest neighbours and their distance in Å.
Space group Cm (No. 8)
One atom of each set of equivalent atoms:
Zr  0.0000  0.0000  0.0000 (multiplicity 2)  4 Al 2.97-3.04, 5 Zr 2.97-3.19, 3 W 3.00-3.01
Zr  0.2295  0.0000  0.7149 (multiplicity 2)  4 W 2.90-3.11, 3 Al 2.97-2.98, 5 Zr 2.97-3.19
Al  0.4782  0.0000  0.4827 (multiplicity 2)  2 W 2.77, 7 Zr 2.97-3.04, 2 Al 3.05
W  0.2545  0.5000  0.2488 (multiplicity 2)  2 Al 2.77, 5 Zr 2.90-3.01, 2 W 3.05

---

# 3
The following is a PBE calculation of a relaxed Sm15Ho2Er2 crystal, from the Alexandria database.

Results
Crystal system: trigonal
Volume in Å³ per atom: 34.3
Total moment in μB/f.u.: 0.00
Formation enthalpy at 0 K in eV/atom: 0.278

Unit cell a=11.1724 b=11.1724 c=18.0784 alpha=90.00 beta=90.00 gamma=120.00
Last column: nearest neighbours and their distance in Å.
Space group R-3m (No. 166, hexagonal axes)
One atom of each set of equivalent atoms:
Sm  0.0000  0.2962  0.0000 (multiplicity 18)  6 Sm 3.30-3.46
Sm  0.0000  0.5000  0.5000 (multiplicity 9)  8 Sm 3.40-3.46, 2 Er 3.49
Sm  0.0222  0.5111  0.1320 (multiplicity 18)  6 Sm 3.26-3.40
Ho  0.0000  0.0000  0.3147 (multiplicity 6)  15 Sm 3.96-4.19, 1 Er 4.01
Er  0.0000  0.0000  0.0928 (multiplicity 6)  1 Er 3.36, 9 Sm 3.49-3.71

---

# 4
The following is a PBE calculation of a relaxed La3Mg2Tl3 crystal, from the Alexandria database.

Results
Crystal system: hexagonal
Volume in Å³ per atom: 30.1
Total moment in μB/f.u.: 0.00
Formation enthalpy at 0 K in eV/atom: -0.258

Unit cell a=9.3823 b=9.3823 c=6.3165 alpha=90.00 beta=90.00 gamma=120.00
Last column: nearest neighbours and their distance in Å.
Space group P6_3/mcm (No. 193)
One atom of each set of equivalent atoms:
La  0.0000  0.2568  0.2500 (multiplicity 6)  5 Tl 3.26-3.42
Mg  0.3333  0.6667  0.0000 (multiplicity 4)  2 Mg 3.16, 6 Tl 3.28
Tl  0.0000  0.3958  0.7500 (multiplicity 6)  5 La 3.26-3.42, 4 Mg 3.28

---

# 5
The following is a PBE calculation of a relaxed Cr3CdRu crystal, from the Alexandria database.

Results
Crystal system: cubic
Volume in Å³ per atom: 20.6
Total moment in μB/f.u.: 9.19
ΔE to the lowest computed polymorph in eV/f.u.: 0.00
Formation enthalpy at 0 K in eV/atom: 1.146

Unit cell a=4.6859 b=4.6859 c=4.6859 alpha=90.00 beta=90.00 gamma=90.00
Last column: nearest neighbours and their distance in Å.
Space group Pm-3m (No. 221)
One atom of each set of equivalent atoms:
Cr  0.0000  0.0000  0.5000 (multiplicity 3)  2 Ru 2.34
Cd  0.5000  0.5000  0.5000 (multiplicity 1)  12 Cr 3.31
Ru  0.0000  0.0000  0.0000 (multiplicity 1)  6 Cr 2.34

---

# 6
The following is a PBE calculation of a relaxed P2PtAu crystal, from the Alexandria database.

Results
Crystal system: monoclinic
Volume in Å³ per atom: 16.2
Total moment in μB/f.u.: 0.00
ΔE to the lowest computed polymorph in eV/f.u.: 0.62
Formation enthalpy at 0 K in eV/atom: -0.039

Unit cell a=4.3006 b=3.3453 c=4.9244 alpha=90.00 beta=113.94 gamma=90.00
Last column: nearest neighbours and their distance in Å.
Space group Pm (No. 6)
One atom of each set of equivalent atoms:
P  0.0000  0.0000  0.0000 (multiplicity 1)  2 P 2.30, 1 Pt 2.42
P  0.4006  0.5000  0.1231 (multiplicity 1)  2 P 2.30, 2 Au 2.42-2.52, 2 Pt 2.55
Pt  0.8581  0.0000  0.4279 (multiplicity 1)  4 P 2.42-2.63
Au  0.4494  0.5000  0.6505 (multiplicity 1)  2 P 2.42-2.52